A relaxed structure of Ba3YCd2O6, computed with GGA-PBE.

- Calculated density: 5.59 g cm⁻³
- Crystal system: trigonal
- Size of the total moment: 0.27 μB/f.u.
- E_form (uncorrected): -2390 kJ/mol of formula units
- Symmetry: P-3m1, No. 164

Cell lengths 6.3354, 6.3354, 7.0227 Å; angles 90.00, 90.00, 120.00 degrees
Closest atoms and distances in Å follow each position.
Element x y z (fractional)
O1 0.1645 0.8355 0.3084  1 Cd 2.17, 1 Y 2.25
O2 0.1645 0.3289 0.3084  1 Cd 2.17, 1 Y 2.25
O3 0.8355 0.6711 0.6916  1 Cd 2.17, 1 Y 2.25
O4 0.6711 0.8355 0.3084  1 Cd 2.17, 1 Y 2.25
O5 0.8355 0.1645 0.6916  1 Cd 2.17, 1 Y 2.25
O6 0.3289 0.1645 0.6916  1 Cd 2.17, 1 Y 2.25
Ba1 0.6667 0.3333 0.3863  3 O 2.83
Ba2 0.0000 0.0000 0.0000  6 O 2.82
Ba3 0.3333 0.6667 0.6137  3 O 2.83
Cd1 0.6667 0.3333 0.8532  3 O 2.17
Cd2 0.3333 0.6667 0.1468  3 O 2.17
Y1 0.0000 0.0000 0.5000  6 O 2.25



A relaxed structure of BaZnCd2O4, computed with GGA-PBE.

- Calculated density: 6.24 g cm⁻³
- Crystal system: tetragonal
- Size of the total moment: 0.00 μB/f.u.
- E_form (uncorrected): -1128 kJ/mol of formula units
- Symmetry: I-42m, No. 121

Cell lengths 5.8104, 5.6488, 5.6488 Å; angles 86.68, 59.05, 59.05 degrees
Closest atoms and distances in Å follow each position.
Element x y z (fractional)
Zn1 0.0000 0.5000 0.5000  4 O 2.01
O1 0.4086 0.1536 0.4378  1 Zn 2.01
O2 0.9999 0.8465 0.5621  1 Zn 2.01
O3 0.0001 0.4379 0.1535  1 Zn 2.01
O4 0.5914 0.5622 0.8464  1 Zn 2.01
Ba1 0.0000 0.0000 0.0000  4 O 2.67
Cd1 0.5000 0.2500 0.7500  4 O 2.25
Cd2 0.5000 0.7500 0.2500  4 O 2.25



A relaxed structure of BaZr2Cd2O7, computed with GGA-PBE.

- Calculated density: 5.99 g cm⁻³
- Crystal system: orthorhombic
- Size of the total moment: 0.00 μB/f.u.
- E_form (uncorrected): -2829 kJ/mol of formula units
- Symmetry: Imm2, No. 44

Cell lengths 4.1782, 4.4661, 10.2294 Å; angles 102.61, 101.78, 90.00 degrees
Closest atoms and distances in Å follow each position.
Element x y z (fractional)
O1 0.5000 0.4914 0.0000  2 Zr 2.07
O2 0.1034 0.5891 0.2068  2 Zr 2.09
O3 0.7204 0.7198 0.4407  4 Cd 2.23-2.33, 1 Zr 2.24
O4 0.8966 0.3823 0.7932  2 Zr 2.09
O5 0.6067 0.0964 0.2133  2 Zr 2.11-2.36, 1 Cd 2.35
O6 0.2796 0.2791 0.5593  4 Cd 2.23-2.33, 1 Zr 2.24
O7 0.3933 0.8830 0.7867  2 Zr 2.11-2.36, 1 Cd 2.35
Zr1 0.6059 0.6231 0.2119  5 O 2.07-2.24
Zr2 0.3941 0.4112 0.7881  5 O 2.07-2.24
Ba1 0.0000 0.0209 0.0000  12 O 2.90-3.16
Cd1 0.2732 0.7749 0.5464  5 O 2.23-2.35
Cd2 0.7268 0.2284 0.4536  5 O 2.23-2.35



A relaxed structure of Ba2ZrCdO, computed with GGA-PBE.

- Calculated density: 3.65 g cm⁻³
- Crystal system: tetragonal
- Size of the total moment: 1.33 μB/f.u.
- E_form (uncorrected): 316 kJ/mol of formula units
- Symmetry: P4/mmm, No. 123

Cell lengths 6.4966, 6.4966, 5.3313 Å; angles 90.00, 90.00, 90.00 degrees
Closest atoms and distances in Å follow each position.
Element x y z (fractional)
Ba1 0.5000 0.0000 0.0000  2 Cd 3.25
Ba2 0.0000 0.5000 0.0000  2 Cd 3.25
Cd1 0.0000 0.0000 0.0000  2 Zr 2.67
Zr1 0.0000 0.0000 0.5000  2 Cd 2.67
O1 0.5000 0.5000 0.5000  8 Ba 4.20, 4 Zr 4.59



A relaxed structure of Ba3CdOs, computed with GGA-PBE.

- Offset from the most stable computed form: 0.0000 eV per atom
- Calculated density: 5.48 g cm⁻³
- ΔE_f: 1.631 eV/f.u.
- Crystal system: cubic
- Size of the total moment: 0.00 μB/f.u.
- Symmetry: Pm-3m, No. 221

Cell lengths 6.0039, 6.0039, 6.0039 Å; angles 90.00, 90.00, 90.00 degrees
Closest atoms and distances in Å follow each position.
Element x y z (fractional)
Ba1 0.0000 0.0000 0.5000  2 Os 3.00
Ba2 0.0000 0.5000 0.0000  2 Os 3.00
Ba3 0.5000 0.0000 0.0000  2 Os 3.00
Os1 0.0000 0.0000 0.0000  6 Ba 3.00
Cd1 0.5000 0.5000 0.5000  12 Ba 4.25



A relaxed structure of BaCd3Os, computed with GGA-PBE.

- Offset from the most stable computed form: 1.7652 eV per atom
- Calculated density: 4.12 g cm⁻³
- ΔE_f: 9.674 eV/f.u.
- Crystal system: cubic
- Size of the total moment: 2.47 μB/f.u.
- Symmetry: Pm-3m, No. 221

Cell lengths 6.4483, 6.4483, 6.4483 Å; angles 90.00, 90.00, 90.00 degrees
Closest atoms and distances in Å follow each position.
Element x y z (fractional)
Cd1 0.0000 0.5000 0.0000  2 Ba 3.22
Cd2 0.5000 0.0000 0.0000  2 Ba 3.22
Cd3 0.0000 0.0000 0.5000  2 Ba 3.22
Ba1 0.0000 0.0000 0.0000  6 Cd 3.22
Os1 0.5000 0.5000 0.5000  12 Cd 4.56



A relaxed structure of BaCd2Os, computed with GGA-PBE.

- Calculated density: 9.71 g cm⁻³
- ΔE_f: 3.265 eV/f.u.
- Crystal system: orthorhombic
- Size of the total moment: 0.90 μB/f.u.
- Symmetry: Cmmm, No. 65

Cell lengths 5.6490, 5.6490, 3.2019 Å; angles 90.00, 90.00, 112.46 degrees
Closest atoms and distances in Å follow each position.
Element x y z (fractional)
Cd1 0.0000 0.0000 0.0000  4 Cd 3.14-3.20, 4 Ba 3.25, 4 Os 3.25
Cd2 0.5000 0.5000 0.0000  4 Cd 3.14-3.20, 4 Os 3.25, 4 Ba 3.25
Ba1 0.0000 0.5000 0.5000  2 Os 3.14, 2 Ba 3.20, 8 Cd 3.25
Os1 0.5000 0.0000 0.5000  2 Ba 3.14, 2 Os 3.20, 8 Cd 3.25



A relaxed structure of BaCd2Os, computed with GGA-PBE.

- Calculated density: 7.24 g cm⁻³
- ΔE_f: 2.461 eV/f.u.
- Crystal system: tetragonal
- Size of the total moment: 0.00 μB/f.u.
- Symmetry: I-42d, No. 122

Cell lengths 5.1785, 5.1785, 10.1360 Å; angles 75.20, 75.20, 90.00 degrees
Closest atoms and distances in Å follow each position.
Element x y z (fractional)
Os1 0.7500 0.2500 0.5000  4 Cd 2.72
Os2 0.0000 0.0000 0.0000  4 Cd 2.72
Cd1 0.9453 0.6250 0.2500  2 Cd 2.69, 2 Os 2.72
Cd2 0.8750 0.0547 0.7500  2 Cd 2.69, 2 Os 2.72
Cd3 0.8047 0.1250 0.2500  2 Cd 2.69, 2 Os 2.72
Cd4 0.3750 0.1953 0.7500  2 Cd 2.69, 2 Os 2.72
Ba1 0.2500 0.7500 0.5000  4 Cd 3.49, 4 Os 3.66
Ba2 0.5000 0.5000 0.0000  4 Cd 3.49, 4 Os 3.66



A relaxed structure of BaCdOs2, computed with GGA-PBE.

- Calculated density: 11.39 g cm⁻³
- ΔE_f: 3.822 eV/f.u.
- Crystal system: orthorhombic
- Size of the total moment: 0.28 μB/f.u.
- Symmetry: Pmmm, No. 47

Cell lengths 2.9465, 4.5469, 6.8587 Å; angles 90.00, 90.00, 90.00 degrees
Closest atoms and distances in Å follow each position.
Element x y z (fractional)
Os1 0.0000 0.0000 0.9198  1 Os 2.33
Os2 0.0000 0.0000 0.5802  1 Os 2.33
Cd1 0.5000 0.5000 0.7500  2 Cd 2.95, 8 Os 2.95
Ba1 0.5000 0.5000 0.2500  2 Ba 2.95



A relaxed structure of BaCd4Os, computed with GGA-PBE.

- Calculated density: 9.13 g cm⁻³
- ΔE_f: 2.666 eV/f.u.
- Crystal system: cubic
- Size of the total moment: 1.40 μB/f.u.
- Symmetry: F-43m, No. 216

Cell lengths 5.8461, 5.8461, 5.8461 Å; angles 60.00, 60.00, 60.00 degrees
Closest atoms and distances in Å follow each position.
Element x y z (fractional)
Cd1 0.3765 0.3765 0.3765  6 Cd 2.89-2.96
Cd2 0.8704 0.3765 0.3765  6 Cd 2.89-2.96
Cd3 0.3765 0.3765 0.8704  6 Cd 2.89-2.96
Cd4 0.3765 0.8704 0.3765  6 Cd 2.89-2.96
Os1 0.7500 0.7500 0.7500  12 Cd 3.42, 4 Ba 3.58
Ba1 0.0000 0.0000 0.0000  12 Cd 3.43, 4 Os 3.58



A relaxed structure of Ba4CdOs, computed with GGA-PBE.

- Calculated density: 6.21 g cm⁻³
- ΔE_f: 6.796 eV/f.u.
- Crystal system: cubic
- Size of the total moment: 0.30 μB/f.u.
- Symmetry: F-43m, No. 216

Cell lengths 6.8556, 6.8556, 6.8556 Å; angles 60.00, 60.00, 60.00 degrees
Closest atoms and distances in Å follow each position.
Element x y z (fractional)
Cd1 0.7500 0.7500 0.7500  12 Ba 4.02, 4 Os 4.20
Ba1 0.3739 0.8784 0.3739  6 Ba 3.40-3.46
Ba2 0.3739 0.3739 0.3739  6 Ba 3.40-3.46
Ba3 0.3739 0.3739 0.8784  6 Ba 3.40-3.46
Ba4 0.8784 0.3739 0.3739  6 Ba 3.40-3.46
Os1 0.0000 0.0000 0.0000  12 Ba 4.02, 4 Cd 4.20



A relaxed structure of BaCdOs2, computed with GGA-PBE.

- Calculated density: 11.79 g cm⁻³
- ΔE_f: 2.191 eV/f.u.
- Crystal system: tetragonal
- Size of the total moment: 0.00 μB/f.u.
- Symmetry: P4mm, No. 99

Cell lengths 3.2091, 3.2091, 8.6163 Å; angles 90.00, 90.00, 90.00 degrees
Closest atoms and distances in Å follow each position.
Element x y z (fractional)
Os1 0.0000 0.0000 0.0395  4 Os 2.55
Os2 0.5000 0.5000 0.1754  4 Os 2.55
Cd1 0.5000 0.5000 0.8073  5 Os 3.03-3.17, 4 Cd 3.21
Ba1 0.0000 0.0000 0.4778  4 Ba 3.21, 4 Os 3.46



A relaxed structure of BaCdOs2, computed with GGA-PBE.

- Calculated density: 9.29 g cm⁻³
- ΔE_f: 3.084 eV/f.u.
- Crystal system: monoclinic
- Size of the total moment: 0.00 μB/f.u.
- Symmetry: P2/m, No. 10

Cell lengths 4.9576, 4.2064, 5.4384 Å; angles 83.39, 90.00, 90.00 degrees
Closest atoms and distances in Å follow each position.
Element x y z (fractional)
Os1 0.0000 0.9892 0.8522  2 Os 2.34-2.41
Os2 0.0000 0.5108 0.6478  2 Os 2.34-2.41
Ba1 0.5000 0.2500 0.2500  4 Cd 3.24-3.62, 4 Os 3.55
Cd1 0.5000 0.7500 0.7500  4 Os 2.76



A relaxed structure of BaCdOs2, computed with GGA-PBE.

- Calculated density: 12.39 g cm⁻³
- ΔE_f: 5.274 eV/f.u.
- Crystal system: cubic
- Size of the total moment: 0.00 μB/f.u.
- Symmetry: F-43m, No. 216

Cell lengths 4.9246, 4.9246, 4.9246 Å; angles 60.00, 60.00, 60.00 degrees
Closest atoms and distances in Å follow each position.
Element x y z (fractional)
Cd1 0.7500 0.7500 0.7500  4 Ba 3.02, 4 Os 3.02
Os1 0.2500 0.2500 0.2500  4 Os 3.02, 4 Ba 3.02
Os2 0.0000 0.0000 0.0000  4 Cd 3.02, 4 Os 3.02
Ba1 0.5000 0.5000 0.5000  4 Cd 3.02, 4 Os 3.02



A relaxed structure of BaCdOs2, computed with GGA-PBE.

- Calculated density: 11.07 g cm⁻³
- ΔE_f: 4.599 eV/f.u.
- Crystal system: tetragonal
- Size of the total moment: 0.84 μB/f.u.
- Symmetry: P4/mmm, No. 123

Cell lengths 3.6628, 3.6628, 7.0451 Å; angles 90.00, 90.00, 90.00 degrees
Closest atoms and distances in Å follow each position.
Element x y z (fractional)
Os1 0.0000 0.0000 0.5822  1 Os 2.36
Os2 0.0000 0.0000 0.9178  1 Os 2.36
Ba1 0.5000 0.5000 0.2500  8 Os 3.49, 2 Cd 3.52, 4 Ba 3.66
Cd1 0.5000 0.5000 0.7500  8 Os 2.85



A relaxed structure of BaCd2Os, computed with GGA-PBE.

- Calculated density: 9.53 g cm⁻³
- ΔE_f: 2.489 eV/f.u.
- Crystal system: tetragonal
- Size of the total moment: 0.35 μB/f.u.
- Symmetry: I4/mmm, No. 139

Cell lengths 5.5872, 5.5872, 5.5872 Å; angles 131.35, 131.35, 71.26 degrees
Closest atoms and distances in Å follow each position.
Element x y z (fractional)
Cd1 0.0000 0.0000 0.0000  4 Ba 3.23, 4 Os 3.23, 4 Cd 3.25
Cd2 0.5000 0.5000 0.0000  4 Os 3.23, 4 Ba 3.23, 4 Cd 3.25
Ba1 0.7500 0.2500 0.5000  8 Cd 3.23, 4 Os 3.25
Os1 0.2500 0.7500 0.5000  8 Cd 3.23, 4 Ba 3.25



A relaxed structure of BaCdOs4, computed with GGA-PBE.

- Calculated density: 14.57 g cm⁻³
- ΔE_f: 5.005 eV/f.u.
- Crystal system: cubic
- Size of the total moment: 2.03 μB/f.u.
- Symmetry: F-43m, No. 216

Cell lengths 5.4615, 5.4615, 5.4615 Å; angles 60.00, 60.00, 60.00 degrees
Closest atoms and distances in Å follow each position.
Element x y z (fractional)
Os1 0.3742 0.8773 0.3742  6 Os 2.71-2.75
Os2 0.3742 0.3742 0.3742  6 Os 2.71-2.75
Os3 0.8773 0.3742 0.3742  6 Os 2.71-2.75
Os4 0.3742 0.3742 0.8773  6 Os 2.71-2.75
Cd1 0.0000 0.0000 0.0000  12 Os 3.20, 4 Ba 3.34
Ba1 0.7500 0.7500 0.7500  12 Os 3.20, 4 Cd 3.34



A relaxed structure of BaCdOs2, computed with GGA-PBE.

- Calculated density: 13.16 g cm⁻³
- ΔE_f: 5.084 eV/f.u.
- Crystal system: orthorhombic
- Size of the total moment: 0.00 μB/f.u.
- Symmetry: Cmmm, No. 65

Cell lengths 2.9414, 2.9414, 10.1632 Å; angles 90.00, 90.00, 115.23 degrees
Closest atoms and distances in Å follow each position.
Element x y z (fractional)
Os1 0.0000 0.0000 0.9781  2 Cd 2.80, 4 Os 2.94
Os2 0.0000 0.0000 0.5219  2 Cd 2.80, 4 Os 2.94
Ba1 0.5000 0.5000 0.2500  6 Ba 2.94-3.15, 4 Os 3.18
Cd1 0.5000 0.5000 0.7500  4 Os 2.80, 4 Cd 2.94



A relaxed structure of BaCdOs2, computed with GGA-PBE.

- Calculated density: 12.68 g cm⁻³
- ΔE_f: 5.261 eV/f.u.
- Crystal system: orthorhombic
- Size of the total moment: 0.22 μB/f.u.
- Symmetry: Pmmm, No. 47

Cell lengths 3.0504, 5.2172, 5.1852 Å; angles 90.00, 90.00, 90.00 degrees
Closest atoms and distances in Å follow each position.
Element x y z (fractional)
Os1 0.0000 0.0000 0.0000  4 Ba 3.01, 6 Os 3.02-3.05
Os2 0.5000 0.5000 0.0000  4 Cd 3.01, 6 Os 3.02-3.05
Ba1 0.5000 0.0000 0.5000  4 Os 3.01, 4 Cd 3.02, 2 Ba 3.05
Cd1 0.0000 0.5000 0.5000  4 Os 3.01, 4 Ba 3.02, 2 Cd 3.05



A relaxed structure of BaCd2Os, computed with GGA-PBE.

- Calculated density: 9.42 g cm⁻³
- ΔE_f: 3.283 eV/f.u.
- Crystal system: monoclinic
- Size of the total moment: 0.82 μB/f.u.
- Symmetry: C2/m, No. 12

Cell lengths 5.6170, 6.2034, 3.2359 Å; angles 79.25, 80.55, 114.20 degrees
Closest atoms and distances in Å follow each position.
Element x y z (fractional)
Os1 0.0000 0.5000 0.5000  2 Ba 3.00, 4 Cd 3.22, 2 Os 3.24
Ba1 0.5000 0.5000 0.0000  2 Os 3.00, 4 Cd 3.22, 2 Ba 3.24
Cd1 0.5000 0.0000 0.5000  4 Cd 3.00-3.24, 2 Os 3.22, 2 Ba 3.22
Cd2 0.0000 0.0000 0.0000  4 Cd 3.00-3.24, 2 Ba 3.22, 2 Os 3.22